#P
A relaxed ScHPd crystal. Source: Alexandria, functional PBE.

abc: 3.430 3.430 6.579
angles: 90.00 90.00 90.00
Space group P4/nmm (No. 129, origin choice 2)
Inequivalent atoms, fractional coordinates:
Sc1 0.250 0.250 0.173 (multiplicity 2)
H1 0.250 0.750 0.000 (multiplicity 2)
Pd1 0.250 0.250 0.616 (multiplicity 2)

Density of states at the Fermi level ... 0.4315 states/eV per atom


#Q
A relaxed ScHPd crystal. Source: Alexandria, functional PBE.

abc: 3.290 3.290 3.610
angles: 90.00 90.00 90.00
Space group P4/mmm (No. 123)
Inequivalent atoms, fractional coordinates:
Sc1 0.000 0.000 0.000 (multiplicity 1)
H1 0.500 0.500 0.000 (multiplicity 1)
Pd1 0.500 0.500 0.500 (multiplicity 1)

Density of states at the Fermi level ... 0.3985 states/eV per atom


#R
A relaxed ScHPd crystal. Source: Alexandria, functional PBE.

abc: 3.576 4.031 6.064
angles: 90.00 106.86 90.00
Space group P2_1/m (No. 11)
Inequivalent atoms, fractional coordinates:
Sc1 0.162 0.250 0.322 (multiplicity 2)
H1 0.428 0.750 0.862 (multiplicity 2)
Pd1 0.405 0.250 0.814 (multiplicity 2)

Density of states at the Fermi level ... 0.3553 states/eV per atom


What should be chosen as the least stable of them? Choose #R.


#P
A relaxed ScH5Pd4 crystal. Source: Alexandria, functional PBE.

abc: 5.435 7.864 4.831
angles: 90.00 90.00 90.00
Space group Pmmn (No. 59, origin choice 2)
Inequivalent atoms, fractional coordinates:
Sc1 0.250 0.250 0.164 (multiplicity 2)
H1 0.038 0.545 0.211 (multiplicity 8)
H2 0.250 0.750 0.652 (multiplicity 2)
Pd1 0.004 0.750 0.372 (multiplicity 4)
Pd2 0.250 0.556 0.893 (multiplicity 4)

Density of states at the Fermi level ... 0.2102 states/eV per atom


#Q
A relaxed ScH5Pd4 crystal. Source: Alexandria, functional PBE.

abc: 15.876 2.897 4.468
angles: 90.00 97.98 90.00
Space group C2/m (No. 12)
Inequivalent atoms, fractional coordinates:
Sc1 0.000 0.000 0.000 (multiplicity 2)
H1 0.000 0.000 0.500 (multiplicity 2)
H2 0.179 0.500 0.333 (multiplicity 4)
H3 0.184 0.500 0.834 (multiplicity 4)
Pd1 0.087 0.500 0.538 (multiplicity 4)
Pd2 0.173 0.000 0.081 (multiplicity 4)

Density of states at the Fermi level ... 0.1893 states/eV per atom


What should be chosen as the least stable of them? Choose #P.


#P
A relaxed ScTeHPd2 crystal. Source: Alexandria, functional PBE.

abc: 4.033 4.033 4.825
angles: 90.00 90.00 90.00
Space group P4/mmm (No. 123)
Inequivalent atoms, fractional coordinates:
Sc1 0.000 0.000 0.000 (multiplicity 1)
Te1 0.500 0.500 0.000 (multiplicity 1)
H1 0.500 0.500 0.500 (multiplicity 1)
Pd1 0.000 0.500 0.500 (multiplicity 2)

Density of states at the Fermi level ... 0.3438 states/eV per atom


#Q
A relaxed ScTeHPd2 crystal. Source: Alexandria, functional PBE.

abc: 4.079 4.079 4.601
angles: 90.00 90.00 90.00
Space group P4/mmm (No. 123)
Inequivalent atoms, fractional coordinates:
Sc1 0.000 0.000 0.000 (multiplicity 1)
Te1 0.500 0.500 0.000 (multiplicity 1)
H1 0.000 0.000 0.500 (multiplicity 1)
Pd1 0.000 0.500 0.500 (multiplicity 2)

Density of states at the Fermi level ... 0.1839 states/eV per atom


What should be chosen as the least stable of them? Choose #P.